[1]
KPm2Te6Pb3: optimized geometry, PBE-GGA.

a = 4.5449 Å, b = 9.4686 Å, c = 10.3598 Å
α = 103.61°, β = 102.67°, γ = 90.00°
Atoms (fractional coordinates):
Pm (0.1687, 0.3486, 0.3374)
Te (0.3211, 0.8893, 0.6421)
Te (0.9910, 0.7332, 0.9819)
Pm (0.8313, 0.6514, 0.6626)
K (0.5000, 0.0000, 0.0000)
Te (0.6789, 0.1107, 0.3579)
Te (0.0090, 0.2668, 0.0181)
Pb (0.5000, 0.5000, 0.0000)
Pb (0.1565, 0.8509, 0.3130)
Pb (0.8435, 0.1491, 0.6870)
Te (0.6691, 0.5891, 0.3381)
Te (0.3309, 0.4109, 0.6619)

Values from the calculation:
space group: C2/m (12)
density: 6.8 g/cm3
uncorrected formation energy: -0.837 eV/atom


[2]
KPmTlPb: optimized geometry, PBE-GGA.

a = 5.6801 Å, b = 5.6801 Å, c = 5.6801 Å
α = 60.00°, β = 60.00°, γ = 60.00°
Atoms (fractional coordinates):
Pm (0.2500, 0.2500, 0.2500)
Pb (0.0000, 0.0000, 0.0000)
Tl (0.5000, 0.5000, 0.5000)
K (0.7500, 0.7500, 0.7500)

Values from the calculation:
formation enthalpy at 0 K: -0.146 eV/atom
space group: F-43m (216)
density: 7.6 g/cm3


[3]
KPrPb2: optimized geometry, PBE-GGA.

a = 4.2687 Å, b = 4.2687 Å, c = 7.9876 Å
α = 90.00°, β = 90.00°, γ = 90.00°
Atoms (fractional coordinates):
Pb (0.0000, 0.0000, 0.1978)
K (0.5000, 0.5000, 0.5000)
Pr (0.5000, 0.5000, 0.0000)
Pb (0.0000, 0.0000, 0.8022)

Values from the calculation:
formation enthalpy at 0 K: -0.319 eV/atom
space group: P4/mmm (123)
density: 6.8 g/cm3
energy above the lowest structure with this stoichiometry: 0.0 meV/atom


[4]
KPr2Pb9: optimized geometry, PBE-GGA.

a = 4.9516 Å, b = 4.9516 Å, c = 15.0585 Å
α = 90.00°, β = 90.00°, γ = 90.00°
Atoms (fractional coordinates):
Pb (0.5000, 0.5000, 0.0000)
Pb (0.5000, 0.0000, 0.1692)
Pb (0.0000, 0.5000, 0.1692)
Pb (0.5000, 0.5000, 0.6671)
Pr (0.0000, 0.0000, 0.3382)
K (0.0000, 0.0000, 0.0000)
Pb (0.5000, 0.5000, 0.3329)
Pb (0.5000, 0.0000, 0.8308)
Pb (0.0000, 0.5000, 0.8308)
Pb (0.5000, 0.0000, 0.5000)
Pr (0.0000, 0.0000, 0.6618)
Pb (0.0000, 0.5000, 0.5000)

Values from the calculation:
formation enthalpy at 0 K: -0.288 eV/atom
space group: P4/mmm (123)
density: 9.8 g/cm3